--- one ---
Entry from Alexandria: a geometry-optimized Cs2AuIO structure (PBE).

M_tot: 0.000 μB/atom
N(E_F): 0.77 states/eV per cell

a = 6.5451 Å, b = 6.5451 Å, c = 4.1045 Å
α = 90.00°, β = 90.00°, γ = 90.00°
Last column: nearest neighbours and their distance in Å.
Sites, in units of the cell vectors:
I1 0.5000 0.5000 0.5000  8 Cs 3.86, 2 I 4.10
O1 0.0000 0.0000 0.0000  2 Au 2.05
Cs1 0.5000 0.0000 0.0000  2 O 3.27
Au1 0.0000 0.0000 0.5000  2 O 2.05
Cs2 0.0000 0.5000 0.0000  2 O 3.27


--- two ---
Entry from Alexandria: a geometry-optimized Cs2AuIO structure (PBE).

M_tot: 0.000 μB/atom

a = 4.4950 Å, b = 8.3240 Å, c = 10.8316 Å
α = 111.95°, β = 90.00°, γ = 90.00°
Last column: nearest neighbours and their distance in Å.
Sites, in units of the cell vectors:
I1 0.2500 0.6965 0.3039  2 Au 2.95
Au1 0.7500 0.4489 0.2378  1 O 2.05
Cs1 0.2500 0.1906 0.9708  3 O 2.91-3.11
Au2 0.2500 0.5511 0.7622  1 O 2.05
O1 0.2500 0.8163 0.8326  1 Au 2.05
Cs2 0.2500 0.2027 0.3607  2 O 3.04
O2 0.7500 0.1837 0.1674  1 Au 2.05
I2 0.7500 0.3035 0.6961  2 Au 2.95
Cs3 0.7500 0.7973 0.6393  2 O 3.04
Cs4 0.7500 0.8094 0.0292  3 O 2.91-3.11


Going by the energies, one is most stable and the next is 8.1 kJ/mol of atoms up.


--- one ---
Entry from Alexandria: a geometry-optimized CsAuI4O12 structure (PBE).

M_tot: 0.000 μB/atom
N(E_F): 0.00 states/eV per cell

a = 7.9679 Å, b = 8.1509 Å, c = 11.2226 Å
α = 74.62°, β = 71.40°, γ = 83.76°
Last column: nearest neighbours and their distance in Å.
Sites, in units of the cell vectors:
O1 0.4853 0.8499 0.3708  1 I 1.97, 1 Au 2.04
O2 0.3561 0.2065 0.2518  1 I 1.95, 1 Au 2.03
O3 0.6627 0.4922 0.6632  1 I 1.84
O4 0.3064 0.7636 0.9361  1 I 1.93, 1 Au 2.02
O5 0.2830 0.8514 0.1731  1 I 1.81
I1 0.2409 0.3446 0.7452  3 O 1.80-1.94
O6 0.4219 0.3445 0.9368  1 I 1.81
O7 0.1846 0.9774 0.5310  1 I 1.82
Cs1 0.0506 0.1859 0.1388  9 O 3.12-3.35
O8 0.2208 0.1095 0.8439  1 I 1.94, 1 Au 2.03
O9 0.1409 0.3201 0.6243  1 I 1.84
I2 0.2376 0.7891 0.4670  3 O 1.82-1.97
O10 0.3373 0.5078 0.3368  1 I 1.84
O11 0.9542 0.5893 0.1413  1 I 1.80
I3 0.2790 0.2831 0.4114  3 O 1.83-1.95
O12 0.6936 0.2364 0.0639  1 I 1.93, 1 Au 2.02
O13 0.0531 0.3086 0.4004  1 I 1.83
I4 0.7210 0.7169 0.5886  3 O 1.83-1.95
O14 0.5147 0.1501 0.6292  1 I 1.97, 1 Au 2.04
O15 0.5781 0.6555 0.0632  1 I 1.81
O16 0.8591 0.6799 0.3757  1 I 1.84
O17 0.6439 0.7935 0.7482  1 I 1.95, 1 Au 2.03
O18 0.3128 0.6489 0.5965  1 I 1.82
I5 0.3385 0.6686 0.1040  3 O 1.81-1.93
I6 0.7624 0.2109 0.5330  3 O 1.82-1.97
I7 0.6615 0.3314 0.8960  3 O 1.81-1.93
Au1 0.4328 0.9546 0.7891  4 O 2.02-2.04
Au2 0.5672 0.0454 0.2109  4 O 2.02-2.04
O19 0.7792 0.8905 0.1561  1 I 1.94, 1 Au 2.03
I8 0.7591 0.6554 0.2548  3 O 1.80-1.94
O20 0.0458 0.4107 0.8587  1 I 1.80
O21 0.9469 0.6914 0.5996  1 I 1.83
Cs2 0.9494 0.8141 0.8612  9 O 3.12-3.35
O22 0.8154 0.0226 0.4690  1 I 1.82
O23 0.7170 0.1486 0.8269  1 I 1.81
O24 0.6872 0.3511 0.4035  1 I 1.82


--- two ---
Entry from Alexandria: a geometry-optimized CsAuI4O12 structure (PBE).

M_tot: 0.000 μB/atom
N(E_F): 0.00 states/eV per cell

a = 7.7277 Å, b = 7.7277 Å, c = 8.4625 Å
α = 73.40°, β = 73.40°, γ = 45.77°
Last column: nearest neighbours and their distance in Å.
Sites, in units of the cell vectors:
O1 0.5430 0.8583 0.9607  1 I 1.82
O2 0.3490 0.8784 0.5975  1 I 1.93, 1 Au 2.03
O3 0.0714 0.3386 0.7976  1 I 1.81
O4 0.1216 0.6510 0.4025  1 I 1.93, 1 Au 2.03
Au1 0.2403 0.7597 0.5000  4 O 2.01-2.03
I1 0.6444 0.7208 0.1662  3 O 1.81-1.92
O5 0.1199 0.6825 0.7288  1 I 1.92, 1 Au 2.01
O6 0.8251 0.4849 0.4617  1 I 1.82
O7 0.6398 0.4210 0.7897  1 I 1.80
O8 0.1417 0.4570 0.0393  1 I 1.82
O9 0.5151 0.1749 0.5383  1 I 1.82
I2 0.6774 0.6229 0.6538  3 O 1.80-1.93
I3 0.3771 0.3226 0.3462  3 O 1.80-1.93
Cs1 0.0409 0.9591 0.0000  8 O 3.07-3.31
I4 0.2792 0.3556 0.8338  3 O 1.81-1.92
O10 0.5790 0.3602 0.2103  1 I 1.80
O11 0.3175 0.8801 0.2712  1 I 1.92, 1 Au 2.01
O12 0.6614 0.9286 0.2024  1 I 1.81


Going by the energies, one is most stable and the next is 0.7 kJ/mol of atoms up.


--- one ---
Entry from Alexandria: a geometry-optimized CsRbAuI structure (PBE).

M_tot: 0.000 μB/atom
N(E_F): 0.00 states/eV per cell

a = 5.1455 Å, b = 5.1461 Å, c = 9.5446 Å
α = 90.00°, β = 105.63°, γ = 120.00°
Last column: nearest neighbours and their distance in Å.
Sites, in units of the cell vectors:
I1 0.1278 0.9618 0.1049  3 Rb 3.70, 3 Cs 3.86
Cs1 0.9753 0.3857 0.3760  3 Au 3.74-3.75, 3 I 3.86
Rb1 0.2988 0.5472 0.8614  3 Au 3.65, 3 I 3.70
Au1 0.4761 0.1361 0.6274  3 Rb 3.65, 3 Cs 3.74-3.75


--- two ---
Entry from Alexandria: a geometry-optimized CsRbAuI structure (PBE).

M_tot: 0.000 μB/atom
N(E_F): 0.00 states/eV per cell

a = 6.2923 Å, b = 6.2923 Å, c = 6.2923 Å
α = 60.00°, β = 60.00°, γ = 60.00°
Last column: nearest neighbours and their distance in Å.
Sites, in units of the cell vectors:
Rb1 0.0000 0.0000 0.0000  4 I 3.85, 4 Au 3.85
Au1 0.2500 0.2500 0.2500  4 Rb 3.85, 4 Cs 3.85
I1 0.7500 0.7500 0.7500  4 Rb 3.85, 4 Cs 3.85
Cs1 0.5000 0.5000 0.5000  4 I 3.85, 4 Au 3.85


Going by the energies, one is most stable and the next is 0.9 kJ/mol of atoms up.


--- one ---
Entry from Alexandria: a geometry-optimized CsSbAuI2 structure (PBE).

M_tot: 0.000 μB/atom
N(E_F): 0.94 states/eV per cell

a = 6.3248 Å, b = 6.3248 Å, c = 5.3269 Å
α = 90.00°, β = 90.00°, γ = 90.00°
Last column: nearest neighbours and their distance in Å.
Sites, in units of the cell vectors:
I1 0.5000 0.0000 0.0000  2 Sb 3.16
Au1 0.0000 0.0000 0.5000  2 Sb 2.66
Sb1 0.0000 0.0000 0.0000  2 Au 2.66
I2 0.0000 0.5000 0.0000  2 Sb 3.16
Cs1 0.5000 0.5000 0.5000  8 I 4.13, 4 Au 4.47


--- two ---
Entry from Alexandria: a geometry-optimized CsSbAuI2 structure (PBE).

M_tot: 0.278 μB/atom
N(E_F): 4.53 states/eV per cell

a = 6.1731 Å, b = 6.1731 Å, c = 5.3420 Å
α = 90.00°, β = 90.00°, γ = 90.00°
Last column: nearest neighbours and their distance in Å.
Sites, in units of the cell vectors:
Au1 0.0000 0.0000 0.0000  2 Sb 2.67
Sb1 0.0000 0.0000 0.5000  2 Au 2.67
I1 0.5000 0.0000 0.0000  2 Au 3.09
I2 0.0000 0.5000 0.0000  2 Au 3.09
Cs1 0.5000 0.5000 0.5000  8 I 4.08, 4 Sb 4.37


Going by the energies, one is most stable and the next is 26.1 kJ/mol of atoms up.